KAu4: relaxed, PBE.

Cell lengths 7.140, 7.140, 7.140 Å; angles 145.49, 145.49, 49.60 degrees
Fractional positions:
K1 0.000 0.000 0.000
Au1 0.750 0.250 0.500
Au2 0.250 0.750 0.500
Au3 0.603 0.603 0.000
Au4 0.397 0.397 0.000

Results
energy = -2.95 eV per atom
excess energy over the best structure of this formula in the dataset = 0.000 eV per atom

Be2PRuPt: relaxed, PBE.

Cell lengths 3.998, 4.557, 3.998 Å; angles 90.00, 90.00, 90.00 degrees
Each line ends with the local moment (μB).
Fractional positions:
Ru1 0.500 0.500 0.500  0.81
Be1 0.000 0.000 0.500  -0.02
Be2 0.500 0.000 0.000  -0.02
Pt1 0.000 0.500 0.000  0.07
P1 0.000 0.000 0.000  0.01

Results
energy = -4.97 eV per atom

TcNiGe2: relaxed, PBE.

Cell lengths 3.113, 3.113, 5.691 Å; angles 90.00, 90.00, 90.00 degrees
Fractional positions:
Ni1 0.500 0.500 0.500
Ge1 0.000 0.000 0.747
Ge2 0.000 0.000 0.253
Tc1 0.500 0.500 0.000

Results
energy = -6.43 eV per atom
excess energy over the best structure of this formula in the dataset = 0.158 eV per atom

AcErHg: relaxed, PBE.

Cell lengths 4.104, 5.269, 5.269 Å; angles 120.00, 90.00, 90.00 degrees
Fractional positions:
Ac1 0.000 0.000 0.000
Hg1 0.500 0.333 0.667
Er1 0.500 0.667 0.333

Results
energy = -3.19 eV per atom
excess energy over the best structure of this formula in the dataset = 0.128 eV per atom

no.,energy of formation (meV/atom)
1,-111
2,670
3,-87
4,-199